# 1
Density functional theory data (PBE) for a relaxed structure of YErAs2.

Cell and atoms, written as POSCAR:
```
YErAs2
1.0
2.052 1.185 6.698
-2.052 1.185 6.698
0.000 -2.370 6.698
Y Er As
1 1 2
Cartesian
0.000 0.000 0.000
0.000 0.000 10.046
0.000 0.000 5.003
0.000 0.000 15.089
```

Summary:
- Offset from the most stable computed form: 1 meV/atom
- ΔH_f (0 K): -1.54 eV/atom
- V: 97.7 Å³ per cell
- Electronic total energy: -6.62 eV/atom
- D(E_F): 0.51 states/eV per cell
- Space group: R-3m (166)

***

# 2
Density functional theory data (PBE) for a relaxed structure of HoTm2TcN4.

Cell and atoms, written as POSCAR:
```
HoTm2TcN4
1.0
1.684 -5.722 0.000
1.684 5.722 0.000
0.000 0.000 11.434
Ho Tm Tc N
2 4 2 8
Cartesian
1.684 4.187 8.575
1.684 -4.187 2.858
1.684 1.505 6.166
1.684 1.505 10.985
1.684 -1.505 0.449
1.684 -1.505 5.268
1.684 4.228 2.858
1.684 -4.228 8.575
0.000 0.000 0.000
0.000 0.000 5.717
1.684 2.712 1.471
1.684 2.712 4.246
1.684 0.507 8.575
1.684 -0.507 2.858
1.684 -2.712 7.188
1.684 -2.712 9.963
```

Summary:
- V: 220.4 Å³ per cell
- Electronic total energy: -8.29 eV/atom
- D(E_F): 3.20 states/eV per cell
- Space group: Cmcm (63)
- Formation energy without anion corrections: -1.145 eV per atom

***

# 3
Density functional theory data (PBE) for a relaxed structure of TiGe.

Cell and atoms, written as POSCAR:
```
TiGe
1.0
0.000 2.921 2.921
2.921 0.000 2.921
2.921 2.921 0.000
Ti Ge
1 1
Cartesian
0.000 0.000 0.000
4.382 4.382 4.382
```

Summary:
- ΔH_f (0 K): 0.42 eV/atom
- V: 49.8 Å³ per cell
- Electronic total energy: -5.83 eV/atom
- D(E_F): 0.27 states/eV per cell
- Space group: F-43m (216)

***

# 4
Density functional theory data (PBE) for a relaxed structure of LiAgHgAu.

Cell and atoms, written as POSCAR:
```
LiAgHgAu
1.0
-2.127 2.127 4.013
2.127 -2.127 4.013
2.127 2.127 -4.013
Li Ag Hg Au
1 1 1 1
Cartesian
0.000 0.000 0.000
2.127 0.000 2.007
0.000 2.127 2.007
0.000 0.000 4.013
```

Summary:
- Offset from the most stable computed form: 0 meV/atom
- ΔH_f (0 K): -0.25 eV/atom
- V: 72.6 Å³ per cell
- Electronic total energy: -2.33 eV/atom
- D(E_F): 1.28 states/eV per cell
- Space group: I-4m2 (119)

***

# 5
Density functional theory data (PBE) for a relaxed structure of PuThSe2.

Cell and atoms, written as POSCAR:
```
PuThSe2
1.0
0.000 3.623 3.623
3.623 0.000 3.623
3.623 3.623 0.000
Pu Th Se
1 1 2
Cartesian
0.000 0.000 0.000
3.623 3.623 3.623
1.811 1.811 1.811
5.434 5.434 5.434
```

Summary:
- Offset from the most stable computed form: 238 meV/atom
- V: 95.1 Å³ per cell
- Electronic total energy: -8.49 eV/atom
- D(E_F): 7.18 states/eV per cell
- Space group: Fm-3m (225)
- Formation energy without anion corrections: -1.314 eV per atom

***

# 6
Density functional theory data (PBE) for a relaxed structure of Cs2NbCuO4.

Cell and atoms, written as POSCAR:
```
Cs2NbCuO4
1.0
-3.157 3.157 4.091
3.157 -3.157 4.091
3.157 3.157 -4.091
Cs Nb Cu O
2 1 1 4
Cartesian
0.000 0.000 0.000
0.000 3.157 2.046
0.000 0.000 4.091
3.157 0.000 2.046
1.734 2.526 -1.075
3.788 1.734 1.075
1.423 0.631 3.016
-0.631 1.423 5.166
```

Summary:
- V: 163.1 Å³ per cell
- Electronic total energy: -6.26 eV/atom
- Space group: I-4 (82)
- Formation energy without anion corrections: -1.794 eV per atom